# Pr5TlTe4, optimized geometry, DFT PBE
# DOS at the Fermi energy (states/eV/cell): 4.38
# Energy relative to the elements, uncorrected (eV/atom): -1.262
# Space-group type: I4/m, No. 87
# Theoretical density (g/cm3): 7.1
# ΔE to the lowest computed polymorph (eV per atom): 0.0000
data_Pr5TlTe4
_cell_length_a 6.414
_cell_length_b 7.876
_cell_length_c 7.876
_cell_angle_alpha 80.46
_cell_angle_beta 65.97
_cell_angle_gamma 65.97
_symmetry_space_group_name_H-M 'P 1'
_symmetry_Int_Tables_number 1
loop_
_symmetry_equiv_pos_as_xyz
'x,y,z'
loop_
_atom_site_label
_atom_site_type_symbol
_atom_site_fract_x
_atom_site_fract_y
_atom_site_fract_z
Te1 Te 0.201 0.202 0.399
Te2 Te 0.600 0.601 0.202
Te3 Te 0.402 0.399 0.798
Te4 Te 0.801 0.798 0.601
Pr1 Pr 0.099 0.605 0.198
Pr2 Pr 0.501 0.000 0.000
Pr3 Pr 0.704 0.198 0.395
Pr4 Pr 0.298 0.802 0.605
Pr5 Pr 0.903 0.395 0.802
Tl1 Tl 0.001 0.000 0.000

---

# Pr4Tl2Te, optimized geometry, DFT PBE
# DOS at the Fermi energy (states/eV/cell): 12.19
# Energy relative to the elements, uncorrected (eV/atom): -0.642
# Space-group type: I-42d, No. 122
# Theoretical density (g/cm3): 8.1
data_Pr4Tl2Te
_cell_length_a 8.372
_cell_length_b 8.371
_cell_length_c 8.372
_cell_angle_alpha 109.38
_cell_angle_beta 109.38
_cell_angle_gamma 109.66
_symmetry_space_group_name_H-M 'P 1'
_symmetry_Int_Tables_number 1
loop_
_symmetry_equiv_pos_as_xyz
'x,y,z'
loop_
_atom_site_label
_atom_site_type_symbol
_atom_site_fract_x
_atom_site_fract_y
_atom_site_fract_z
Pr1 Pr 0.233 0.124 0.747
Pr2 Pr 0.374 0.983 0.247
Pr3 Pr 0.514 0.767 0.892
Pr4 Pr 0.017 0.264 0.392
Pr5 Pr 0.876 0.622 0.108
Pr6 Pr 0.736 0.127 0.753
Pr7 Pr 0.378 0.486 0.253
Pr8 Pr 0.872 0.626 0.608
Te1 Te 0.250 0.750 0.500
Te2 Te 0.000 0.000 0.000
Tl1 Tl 0.125 0.501 0.876
Tl2 Tl 0.625 0.249 0.123
Tl3 Tl 0.499 0.375 0.624
Tl4 Tl 0.751 0.875 0.376

---

# Pr2TlTe, optimized geometry, DFT PBE
# DOS at the Fermi energy (states/eV/cell): 4.06
# Energy relative to the elements, uncorrected (eV/atom): -0.938
# Space-group type: Cmcm, No. 63
# Theoretical density (g/cm3): 7.8
# ΔE to the lowest computed polymorph (eV per atom): 0.0000
data_Pr2TlTe
_cell_length_a 4.513
_cell_length_b 4.640
_cell_length_c 12.643
_cell_angle_alpha 100.57
_cell_angle_beta 90.00
_cell_angle_gamma 90.00
_symmetry_space_group_name_H-M 'P 1'
_symmetry_Int_Tables_number 1
loop_
_symmetry_equiv_pos_as_xyz
'x,y,z'
loop_
_atom_site_label
_atom_site_type_symbol
_atom_site_fract_x
_atom_site_fract_y
_atom_site_fract_z
Pr1 Pr 0.750 0.680 0.359
Pr2 Pr 0.250 0.320 0.641
Pr3 Pr 0.250 0.065 0.129
Pr4 Pr 0.750 0.935 0.871
Te1 Te 0.750 0.808 0.617
Te2 Te 0.250 0.192 0.383
Tl1 Tl 0.250 0.454 0.909
Tl2 Tl 0.750 0.546 0.091

---

# Pr2TlTe3, optimized geometry, DFT PBE
# DOS at the Fermi energy (states/eV/cell): 4.38
# Energy relative to the elements, uncorrected (eV/atom): -1.194
# Space-group type: P6_3/mmc, No. 194
# Theoretical density (g/cm3): 6.7
data_Pr2TlTe3
_cell_length_a 4.521
_cell_length_b 4.521
_cell_length_c 24.300
_cell_angle_alpha 90.00
_cell_angle_beta 90.00
_cell_angle_gamma 120.00
_symmetry_space_group_name_H-M 'P 1'
_symmetry_Int_Tables_number 1
loop_
_symmetry_equiv_pos_as_xyz
'x,y,z'
loop_
_atom_site_label
_atom_site_type_symbol
_atom_site_fract_x
_atom_site_fract_y
_atom_site_fract_z
Te1 Te 0.000 0.000 0.500
Te2 Te 0.333 0.667 0.346
Te3 Te 0.667 0.333 0.654
Te4 Te 0.333 0.667 0.154
Te5 Te 0.667 0.333 0.846
Te6 Te 0.000 0.000 0.000
Tl1 Tl 0.000 0.000 0.750
Tl2 Tl 0.000 0.000 0.250
Pr1 Pr 0.333 0.667 0.578
Pr2 Pr 0.667 0.333 0.422
Pr3 Pr 0.333 0.667 0.922
Pr4 Pr 0.667 0.333 0.078

---

# Pr5Tl2Te, optimized geometry, DFT PBE
# DOS at the Fermi energy (states/eV/cell): 22.17
# Energy relative to the elements, uncorrected (eV/atom): -0.528
# Space-group type: Pbam, No. 55
# Theoretical density (g/cm3): 7.7
data_Pr5Tl2Te
_cell_length_a 4.700
_cell_length_b 8.815
_cell_length_c 12.966
_cell_angle_alpha 90.00
_cell_angle_beta 90.00
_cell_angle_gamma 90.00
_symmetry_space_group_name_H-M 'P 1'
_symmetry_Int_Tables_number 1
loop_
_symmetry_equiv_pos_as_xyz
'x,y,z'
loop_
_atom_site_label
_atom_site_type_symbol
_atom_site_fract_x
_atom_site_fract_y
_atom_site_fract_z
Tl1 Tl 0.500 0.924 0.677
Tl2 Tl 0.500 0.424 0.823
Tl3 Tl 0.500 0.076 0.323
Tl4 Tl 0.500 0.576 0.177
Pr1 Pr 0.500 0.211 0.075
Pr2 Pr 0.500 0.789 0.925
Pr3 Pr 0.500 0.289 0.575
Pr4 Pr 0.000 0.656 0.715
Pr5 Pr 0.000 0.500 0.000
Pr6 Pr 0.000 0.844 0.215
Pr7 Pr 0.500 0.711 0.425
Pr8 Pr 0.000 0.156 0.785
Pr9 Pr 0.000 0.000 0.500
Pr10 Pr 0.000 0.344 0.285
Te1 Te 0.000 0.000 0.000
Te2 Te 0.000 0.500 0.500

---

# Pr4TlTe2, optimized geometry, DFT PBE
# DOS at the Fermi energy (states/eV/cell): 11.84
# Energy relative to the elements, uncorrected (eV/atom): -0.887
# Space-group type: Cmcm, No. 63
# Theoretical density (g/cm3): 7.0
# ΔE to the lowest computed polymorph (eV per atom): 0.0000
data_Pr4TlTe2
_cell_length_a 4.363
_cell_length_b 7.655
_cell_length_c 15.232
_cell_angle_alpha 90.00
_cell_angle_beta 90.00
_cell_angle_gamma 106.56
_symmetry_space_group_name_H-M 'P 1'
_symmetry_Int_Tables_number 1
loop_
_symmetry_equiv_pos_as_xyz
'x,y,z'
loop_
_atom_site_label
_atom_site_type_symbol
_atom_site_fract_x
_atom_site_fract_y
_atom_site_fract_z
Pr1 Pr 0.219 0.437 0.871
Pr2 Pr 0.940 0.879 0.750
Pr3 Pr 0.500 0.000 0.000
Pr4 Pr 0.060 0.121 0.250
Pr5 Pr 0.500 0.000 0.500
Pr6 Pr 0.781 0.563 0.371
Pr7 Pr 0.781 0.563 0.129
Pr8 Pr 0.219 0.437 0.629
Te1 Te 0.858 0.716 0.562
Te2 Te 0.858 0.716 0.938
Te3 Te 0.142 0.284 0.438
Te4 Te 0.142 0.284 0.062
Tl1 Tl 0.400 0.801 0.250
Tl2 Tl 0.600 0.199 0.750

---

> Which formula does entry 4 have?

Pr2TlTe3